# GaH

A relaxed GaH crystal (PBE-GGA, Alexandria).

Cell: 8.594 8.594 2.726 Å, 90.00 90.00 120.00°
Sites, in units of the cell vectors:
Ga 0.909 0.210 0.250
Ga 0.699 0.909 0.750
Ga 0.790 0.699 0.250
Ga 0.091 0.790 0.750
Ga 0.301 0.091 0.250
Ga 0.210 0.301 0.750
H 0.506 0.153 0.250
H 0.353 0.506 0.750
H 0.847 0.353 0.250
H 0.494 0.847 0.750
H 0.647 0.494 0.250
H 0.153 0.647 0.750

Calculated total energy ... -35.79 eV per cell
Space group ... P6_3/m


# GaH

A relaxed GaH crystal (PBE-GGA, Alexandria).

Cell: 3.409 4.386 6.768 Å, 49.58 59.59 38.69°
Sites, in units of the cell vectors:
Ga 0.751 0.976 0.774
Ga 0.249 0.024 0.226
H 0.252 0.059 0.691
H 0.748 0.941 0.309

Calculated total energy ... -12.00 eV per cell
Space group ... P-1
Density of states at the Fermi level ... 0.3 states/eV/cell


# GaH

A relaxed GaH crystal (PBE-GGA, Alexandria).

Cell: 5.748 5.748 5.748 Å, 90.00 90.00 90.00°
Sites, in units of the cell vectors:
Ga 0.250 0.000 0.500
Ga 0.750 0.000 0.500
Ga 0.000 0.500 0.250
Ga 0.000 0.500 0.750
Ga 0.500 0.250 0.000
Ga 0.500 0.750 0.000
H 0.250 0.500 0.000
H 0.750 0.500 0.000
H 0.500 0.000 0.250
H 0.500 0.000 0.750
H 0.000 0.250 0.500
H 0.000 0.750 0.500

Calculated total energy ... -31.78 eV per cell
Space group ... Pm-3n
Density of states at the Fermi level ... 2.6 states/eV/cell


# GaH

A relaxed GaH crystal (PBE-GGA, Alexandria).

Cell: 2.769 4.526 4.823 Å, 117.90 106.34 90.34°
Sites, in units of the cell vectors:
Ga 0.330 0.327 0.154
Ga 0.670 0.673 0.846
H 0.993 0.917 0.504
H 0.007 0.083 0.496

Calculated total energy ... -12.13 eV per cell
Space group ... P-1
Density of states at the Fermi level ... 0.5 states/eV/cell


# GaH

A relaxed GaH crystal (PBE-GGA, Alexandria).

Cell: 7.272 4.559 7.182 Å, 90.00 90.00 90.00°
Sites, in units of the cell vectors:
Ga 0.317 0.000 0.000
Ga 0.683 0.000 0.000
Ga 0.317 0.500 0.500
Ga 0.683 0.500 0.500
Ga 0.817 0.000 0.500
Ga 0.183 0.000 0.500
Ga 0.817 0.500 0.000
Ga 0.183 0.500 0.000
H 0.000 0.000 0.662
H 0.000 0.000 0.338
H 0.000 0.500 0.162
H 0.000 0.500 0.838
H 0.500 0.000 0.162
H 0.500 0.000 0.838
H 0.500 0.500 0.662
H 0.500 0.500 0.338

Calculated total energy ... -48.58 eV per cell
Space group ... Fmmm
Density of states at the Fermi level ... 2.1 states/eV/cell


# GaH5

A relaxed GaH5 crystal (PBE-GGA, Alexandria).

Cell: 3.531 2.392 5.917 Å, 101.66 90.00 90.00°
Sites, in units of the cell vectors:
H 0.500 0.750 0.499
H 0.000 0.611 0.222
H 0.500 0.500 0.000
H 0.000 0.389 0.778
H 0.500 0.250 0.501
Ga 0.000 0.000 0.000

Calculated total energy ... -16.10 eV per cell
Space group ... Cmmm
Density of states at the Fermi level ... 0.4 states/eV/cell